The following is a PBEsol calculation of a relaxed Rb4CuSi2O7 crystal, from the Alexandria database.

Calculated values
raw total energy	-85.5	eV/cell
energy relative to the elements, uncorrected	-2.06	eV/atom
size of the total moment	1.00	μB/f.u.

a b c (Å): 6.2377 7.1106 7.1342
angles (deg): 114.67 100.00 107.82
Site moments in Bohr magnetons follow the coordinates.
Fractional positions:
O  0.1855  0.2707  0.4386  0.09
O  0.2050  0.8548  0.2365  0.01
O  0.7950  0.1452  0.7635  0.01
O  0.0000  0.0000  0.0000  0.01
O  0.4792  0.2406  0.2326  0.10
O  0.5208  0.7594  0.7674  0.10
O  0.8145  0.7293  0.5614  0.09
Rb  0.3192  0.0784  0.7183  0.00
Rb  0.9370  0.4556  0.2233  0.00
Rb  0.6808  0.9216  0.2817  0.00
Rb  0.0630  0.5444  0.7767  0.00
Si  0.7815  0.9210  0.7747  0.00
Si  0.2185  0.0790  0.2253  0.00
Cu  0.5000  0.5000  0.5000  0.54

***

The following is a PBEsol calculation of a relaxed CuReO3 crystal, from the Alexandria database.

Calculated values
raw total energy	-37.5	eV/cell
energy relative to the elements, uncorrected	-0.81	eV/atom
size of the total moment	0.00	μB/f.u.

a b c (Å): 3.8307 3.8307 3.8307
angles (deg): 90.00 90.00 90.00
Fractional positions:
O  0.0000  0.0000  0.5000
O  0.0000  0.5000  0.0000
O  0.5000  0.0000  0.0000
Cu  0.5000  0.5000  0.5000
Re  0.0000  0.0000  0.0000

***

The following is a PBEsol calculation of a relaxed CuRhO2 crystal, from the Alexandria database.

Calculated values
raw total energy	-25.5	eV/cell
energy relative to the elements, uncorrected	-0.63	eV/atom
size of the total moment	0.00	μB/f.u.

a b c (Å): 3.0653 3.0653 5.9165
angles (deg): 74.99 74.99 60.00
Fractional positions:
O  0.8924  0.8924  0.3229
O  0.1076  0.1076  0.6771
Rh  0.5000  0.5000  0.5000
Cu  0.0000  0.0000  0.0000

***

The following is a PBEsol calculation of a relaxed SrCu3Ru4O12 crystal, from the Alexandria database.

Calculated values
raw total energy	-140.9	eV/cell
energy relative to the elements, uncorrected	-1.12	eV/atom
size of the total moment	0.00	μB/f.u.

a b c (Å): 6.3982 6.3982 6.3982
angles (deg): 109.47 109.47 109.47
Fractional positions:
O  0.8243  0.3105  0.1348
O  0.8243  0.6895  0.5137
O  0.6895  0.5137  0.8243
O  0.8652  0.1757  0.6895
O  0.1348  0.8243  0.3105
O  0.3105  0.4863  0.1757
O  0.5137  0.8243  0.6895
O  0.6895  0.8652  0.1757
O  0.3105  0.1348  0.8243
O  0.1757  0.3105  0.4863
O  0.1757  0.6895  0.8652
O  0.4863  0.1757  0.3105
Ru  0.5000  0.0000  0.0000
Ru  0.0000  0.5000  0.0000
Ru  0.0000  0.0000  0.5000
Ru  0.5000  0.5000  0.5000
Cu  0.5000  0.0000  0.5000
Cu  0.0000  0.5000  0.5000
Cu  0.5000  0.5000  0.0000
Sr  0.0000  0.0000  0.0000

***

The following is a PBEsol calculation of a relaxed Cu2S3O12 crystal, from the Alexandria database.

Calculated values
raw total energy	-203.6	eV/cell
energy relative to the elements, uncorrected	-1.00	eV/atom
size of the total moment	3.98	μB/f.u.

a b c (Å): 8.0539 8.0539 8.7361
angles (deg): 62.55 62.55 60.00
Site moments in Bohr magnetons follow the coordinates.
Fractional positions:
S  0.5423  0.9583  0.2488  -0.01
S  0.4577  0.0417  0.7512  -0.01
S  0.7493  0.4577  0.7512  -0.01
S  0.9583  0.2507  0.2488  -0.01
S  0.2507  0.5423  0.2488  -0.01
S  0.0417  0.7493  0.7512  -0.01
Cu  0.1453  0.1453  0.5640  0.90
Cu  0.6552  0.6552  0.0344  0.89
Cu  0.3448  0.3448  0.9656  0.89
Cu  0.8547  0.8547  0.4360  0.90
O  0.7975  0.6048  0.5726  0.14
O  0.7481  0.8606  0.2653  0.21
O  0.1260  0.7481  0.2653  0.21
O  0.8740  0.2519  0.7347  0.21
O  0.8003  0.4703  0.8884  0.15
O  0.1688  0.5350  0.8035  0.14
O  0.4650  0.5074  0.1965  0.14
O  0.4926  0.1688  0.8035  0.14
O  0.5350  0.4926  0.8035  0.14
O  0.1590  0.1997  0.1116  0.15
O  0.1394  0.8740  0.7347  0.21
O  0.6048  0.0252  0.5726  0.14
O  0.2519  0.1394  0.7347  0.21
O  0.4703  0.8410  0.8884  0.15
O  0.5074  0.8312  0.1965  0.14
O  0.1997  0.5297  0.1116  0.15
O  0.8312  0.4650  0.1965  0.14
O  0.3952  0.9748  0.4274  0.14
O  0.9748  0.2025  0.4274  0.14
O  0.2025  0.3952  0.4274  0.14
O  0.5297  0.1590  0.1116  0.15
O  0.8410  0.8003  0.8884  0.15
O  0.8606  0.1260  0.2653  0.21
O  0.0252  0.7975  0.5726  0.14

***

The following is a PBEsol calculation of a relaxed Cu3SO8 crystal, from the Alexandria database.

Calculated values
raw total energy	-267.1	eV/cell
energy relative to the elements, uncorrected	-0.62	eV/atom
size of the total moment	1.01	μB/f.u.

a b c (Å): 5.7973 7.7621 12.7906
angles (deg): 90.00 90.00 90.00
Site moments in Bohr magnetons follow the coordinates.
Fractional positions:
O  0.4920  0.9519  0.9116  0.03
O  0.5338  0.4881  0.8460  0.01
O  0.7500  0.2561  0.7721  0.00
O  0.7500  0.2143  0.5340  0.23
O  0.7500  0.7561  0.7279  0.00
O  0.2500  0.2439  0.2721  0.00
O  0.9662  0.4881  0.8460  0.01
O  0.5338  0.9881  0.6540  0.01
O  0.5080  0.0481  0.0884  0.03
O  0.7500  0.2938  0.9603  0.01
O  0.5080  0.5481  0.4116  0.03
O  0.0338  0.5119  0.1540  0.01
O  0.2500  0.7439  0.2279  0.00
O  0.4662  0.5119  0.1540  0.01
O  0.0080  0.9519  0.9116  0.03
O  0.9920  0.5481  0.4116  0.03
O  0.2500  0.7062  0.0397  0.01
O  0.7500  0.2597  0.1945  0.37
O  0.4920  0.4519  0.5884  0.03
O  0.2500  0.7403  0.8055  0.37
O  0.9920  0.0481  0.0884  0.03
O  0.4662  0.0119  0.3460  0.01
O  0.2500  0.7857  0.4660  0.23
O  0.2500  0.2062  0.4603  0.01
O  0.0338  0.0119  0.3460  0.01
O  0.7500  0.7143  0.9660  0.23
O  0.2500  0.2403  0.6945  0.37
O  0.7500  0.7938  0.5397  0.01
O  0.2500  0.2857  0.0340  0.23
O  0.0080  0.4519  0.5884  0.03
O  0.9662  0.9881  0.6540  0.01
O  0.7500  0.7597  0.3055  0.37
Cu  0.0033  0.2808  0.1173  0.06
Cu  0.2500  0.4990  0.4974  0.07
Cu  0.0033  0.7808  0.3827  0.06
Cu  0.7500  0.5010  0.5026  0.07
Cu  0.2500  0.9990  0.0026  0.07
Cu  0.7500  0.0010  0.9974  0.07
Cu  0.5033  0.2192  0.6173  0.06
Cu  0.9967  0.7192  0.8827  0.06
Cu  0.9967  0.2192  0.6173  0.06
Cu  0.4967  0.7808  0.3827  0.06
Cu  0.5033  0.7192  0.8827  0.06
Cu  0.4967  0.2808  0.1173  0.06
S  0.2500  0.6193  0.1429  0.00
S  0.2500  0.1193  0.3571  0.00
S  0.7500  0.3807  0.8571  0.00
S  0.7500  0.8807  0.6429  0.00

***

The following is a PBEsol calculation of a relaxed CuSO4 crystal, from the Alexandria database.

Calculated values
raw total energy	-144.6	eV/cell
energy relative to the elements, uncorrected	-1.07	eV/atom
size of the total moment	0.98	μB/f.u.

a b c (Å): 4.8497 6.5914 8.3849
angles (deg): 90.00 90.00 90.00
Site moments in Bohr magnetons follow the coordinates.
Fractional positions:
O  0.1844  0.4378  0.6292  0.07
O  0.1844  0.0622  0.6292  0.07
O  0.2432  0.7500  0.3670  0.04
O  0.3156  0.4378  0.1292  0.07
O  0.5703  0.7500  0.6349  0.12
O  0.3156  0.0622  0.1292  0.07
O  0.0703  0.2500  0.8651  0.12
O  0.7432  0.2500  0.1330  0.04
O  0.9297  0.7500  0.1349  0.12
O  0.8156  0.5622  0.3708  0.07
O  0.6844  0.5622  0.8708  0.07
O  0.2568  0.7500  0.8670  0.04
O  0.8156  0.9378  0.3708  0.07
O  0.7568  0.2500  0.6330  0.04
O  0.6844  0.9378  0.8708  0.07
O  0.4297  0.2500  0.3651  0.12
S  0.0462  0.2500  0.6821  0.00
S  0.9538  0.7500  0.3179  0.00
S  0.5462  0.7500  0.8179  0.00
S  0.4538  0.2500  0.1821  0.00
Cu  0.5000  0.0000  0.5000  0.65
Cu  0.5000  0.5000  0.5000  0.65
Cu  0.0000  0.5000  0.0000  0.65
Cu  0.0000  0.0000  0.0000  0.65

***

The following is a PBEsol calculation of a relaxed Cu2S3O12 crystal, from the Alexandria database.

Calculated values
raw total energy	-203.1	eV/cell
energy relative to the elements, uncorrected	-0.99	eV/atom
size of the total moment	0.00	μB/f.u.

a b c (Å): 7.8679 7.8679 8.8953
angles (deg): 95.72 111.83 117.83
Fractional positions:
O  0.9739  0.3899  0.6193
O  0.4586  0.5915  0.2042
O  0.5275  0.8136  0.0252
O  0.7294  0.6454  0.1193
O  0.8814  0.1908  0.8907
O  0.7939  0.9059  0.3290
O  0.2348  0.1670  0.1868
O  0.5198  0.9520  0.6868
O  0.9231  0.5352  0.8290
O  0.0769  0.4648  0.1710
O  0.8001  0.9907  0.6093
O  0.5414  0.4085  0.7958
O  0.4725  0.1864  0.9748
O  0.1127  0.7456  0.7042
O  0.0261  0.6101  0.3807
O  0.2706  0.3546  0.8807
O  0.7117  0.4977  0.5252
O  0.8873  0.2544  0.2958
O  0.1999  0.0093  0.3907
O  0.7652  0.8330  0.8132
O  0.2883  0.5023  0.4748
O  0.2061  0.0941  0.6710
O  0.1186  0.8092  0.1093
O  0.4802  0.0480  0.3132
S  0.3817  0.2544  0.8432
S  0.9112  0.5386  0.6568
S  0.6183  0.7456  0.1568
S  0.7353  0.9853  0.7500
S  0.0888  0.4614  0.3432
S  0.2647  0.0147  0.2500
Cu  0.8263  0.1362  0.4569
Cu  0.1794  0.3694  0.0431
Cu  0.8206  0.6306  0.9569
Cu  0.1737  0.8638  0.5431